Version i
Entry from Alexandria via LeMat-Bulk: a geometry-optimized Al2Ag3 structure (GGA-PBEsol). Values from VASP.

```
&SYSTEM
  ibrav = 0, nat = 10, ntyp = 2
/
ATOMIC_SPECIES
Al 26.98 Al.upf
Ag 107.87 Ag.upf
CELL_PARAMETERS angstrom
3.992 0.000 0.000
0.000 1.994 10.092
0.000 -1.994 10.092
ATOMIC_POSITIONS crystal
Al 0.000 0.000 0.000
Al 0.000 0.202 0.202
Al 0.500 0.500 0.500
Al 0.500 0.897 0.897
Ag 0.000 0.408 0.408
Ag 0.000 0.599 0.599
Ag 0.000 0.801 0.801
Ag 0.500 0.095 0.095
Ag 0.500 0.302 0.302
Ag 0.500 0.699 0.699
```

Properties
Calculated density = 7804 kg/m3

---

Version ii
Entry from Alexandria via LeMat-Bulk: a geometry-optimized Al2Ag3 structure (GGA-PBEsol). Values from VASP.

```
&SYSTEM
  ibrav = 0, nat = 10, ntyp = 2
/
ATOMIC_SPECIES
Al 26.98 Al.upf
Ag 107.87 Ag.upf
CELL_PARAMETERS angstrom
4.844 0.000 0.000
0.000 2.991 0.000
-1.312 0.000 11.245
ATOMIC_POSITIONS crystal
Al 0.140 0.250 0.205
Al 0.242 0.750 0.000
Al 0.758 0.250 0.000
Al 0.860 0.750 0.795
Ag 0.043 0.750 0.395
Ag 0.370 0.250 0.811
Ag 0.455 0.750 0.603
Ag 0.545 0.250 0.397
Ag 0.630 0.750 0.189
Ag 0.957 0.250 0.605
```

Properties
Calculated density = 7696 kg/m3

---

Version iii
Entry from Alexandria via LeMat-Bulk: a geometry-optimized Al2Ag3 structure (GGA-PBEsol). Values from VASP.

```
&SYSTEM
  ibrav = 0, nat = 5, ntyp = 2
/
ATOMIC_SPECIES
Al 26.98 Al.upf
Ag 107.87 Ag.upf
CELL_PARAMETERS angstrom
-1.459 1.953 7.039
1.459 -1.953 7.039
1.459 1.953 -7.039
ATOMIC_POSITIONS crystal
Al 0.103 0.103 0.000
Al 0.897 0.897 0.000
Ag 0.303 0.303 0.000
Ag 0.500 0.500 0.000
Ag 0.697 0.697 0.000
```

Properties
Calculated density = 7814 kg/m3

---

The most stable structure shown above is version iii; the least stable is version ii.